{"formula": "TmGa7Cu5", "functional": "PBE", "state": "optimized geometry", "cell": [[5.201, 0.000, 0.000], [2.600, 6.166, -0.093], [2.600, -0.113, 6.166]], "species": ["Cu", "Cu", "Cu", "Cu", "Cu", "Ga", "Ga", "Ga", "Ga", "Ga", "Ga", "Ga", "Tm"], "fractional_positions": [[0.732, 0.768, 0.768], [0.500, 0.496, 0.000], [0.500, 0.000, 0.496], [0.004, 0.000, 0.496], [0.004, 0.496, 0.000], [0.508, 0.185, 0.798], [0.269, 0.231, 0.231], [0.508, 0.798, 0.185], [0.992, 0.351, 0.665], [0.345, 0.655, 0.655], [0.992, 0.665, 0.351], [0.647, 0.353, 0.353], [0.999, 0.001, 0.001]], "e_form_kj_per_mol_atoms": -23.98, "m_tot_mub_per_cell": 0.000, "sg": "Imm2 (44)"}